VASP calculation (PBE) on an optimized crystal structure of Na2PmHgBi2.

Calculated values
D(E_F) in states/eV per atom: 0.4060
Spin magnetization in μB per atom: 0.000
Formation energy in eV/atom: -0.419

a b c (Å): 4.877 7.787 9.490
angles (deg): 90.00 90.00 90.00
Positions (direct):
1 Hg 0.500 0.141 0.680
2 Bi 0.500 0.735 0.645
3 Bi 0.500 0.235 0.355
4 Na 0.500 0.050 0.041
5 Na 0.000 0.846 0.844
6 Na 0.000 0.346 0.156
7 Pm 0.000 0.493 0.520
8 Hg 0.500 0.641 0.320
9 Na 0.500 0.550 0.959
10 Pm 0.000 0.993 0.480
11 Bi 0.000 0.281 0.823
12 Bi 0.000 0.781 0.177